No. 1
Li12Ca17 at its PBEsol-relaxed geometry. Source: the Alexandria database, functional SCAN.

magnetization: 0.1 μB/cell
formation energy: 0.046 eV per atom

Cell: 10.7754 10.7754 10.7754 Å, 109.47 109.47 109.47°
Closest atoms and distances in Å follow each position.
Fractional coordinates of all 29 atoms:
Ca 0.0000 0.0000 0.3515  4 Ca 3.64-3.79, 6 Li 3.65
Ca 0.3903 0.3903 0.7106  5 Li 3.45-3.85, 7 Ca 3.64-3.71
Ca 0.6797 0.6797 0.2894  5 Li 3.45-3.85, 7 Ca 3.64-3.71
Li 0.3574 0.3574 0.1767  3 Li 3.11-3.18, 1 Ca 3.45
Ca 0.0000 0.3203 0.6097  5 Li 3.45-3.85, 7 Ca 3.64-3.71
Ca 0.7106 0.3903 0.3903  5 Li 3.45-3.85, 7 Ca 3.64-3.71
Li 0.1808 0.8233 0.1808  3 Li 3.11-3.18, 1 Ca 3.45
Li 0.6426 0.8192 0.0000  3 Li 3.11-3.18, 1 Ca 3.45
Ca 0.6097 0.0000 0.3203  5 Li 3.45-3.85, 7 Ca 3.64-3.71
Li 0.3574 0.1767 0.3574  3 Li 3.11-3.18, 1 Ca 3.45
Ca 0.6485 0.6485 0.6485  4 Ca 3.64-3.79, 6 Li 3.65
Ca 0.2894 0.6797 0.6797  5 Li 3.45-3.85, 7 Ca 3.64-3.71
Ca 0.0000 0.6097 0.3203  5 Li 3.45-3.85, 7 Ca 3.64-3.71
Ca 0.3203 0.6097 0.0000  5 Li 3.45-3.85, 7 Ca 3.64-3.71
Ca 0.6097 0.3203 0.0000  5 Li 3.45-3.85, 7 Ca 3.64-3.71
Ca 0.0000 0.0000 0.0000  12 Li 3.69, 4 Ca 3.79
Ca 0.6797 0.2894 0.6797  5 Li 3.45-3.85, 7 Ca 3.64-3.71
Ca 0.3903 0.7106 0.3903  5 Li 3.45-3.85, 7 Ca 3.64-3.71
Ca 0.3203 0.0000 0.6097  5 Li 3.45-3.85, 7 Ca 3.64-3.71
Li 0.0000 0.8192 0.6426  3 Li 3.11-3.18, 1 Ca 3.45
Li 0.8192 0.0000 0.6426  3 Li 3.11-3.18, 1 Ca 3.45
Li 0.1767 0.3574 0.3574  3 Li 3.11-3.18, 1 Ca 3.45
Li 0.1808 0.1808 0.8233  3 Li 3.11-3.18, 1 Ca 3.45
Li 0.8233 0.1808 0.1808  3 Li 3.11-3.18, 1 Ca 3.45
Li 0.6426 0.0000 0.8192  3 Li 3.11-3.18, 1 Ca 3.45
Ca 0.3515 0.0000 0.0000  4 Ca 3.64-3.79, 6 Li 3.65
Li 0.0000 0.6426 0.8192  3 Li 3.11-3.18, 1 Ca 3.45
Ca 0.0000 0.3515 0.0000  4 Ca 3.64-3.79, 6 Li 3.65
Li 0.8192 0.6426 0.0000  3 Li 3.11-3.18, 1 Ca 3.45

---

No. 2
Li3Ca at its PBEsol-relaxed geometry. Source: the Alexandria database, functional SCAN.

magnetization: 0.1 μB/cell
polymorph energy (0 for the lowest one): 36 meV/atom
formation energy: 0.074 eV per atom

Cell: 3.5341 5.2590 5.6648 Å, 90.00 90.00 90.00°
Closest atoms and distances in Å follow each position.
Fractional coordinates of all 4 atoms:
Ca 0.0000 0.0000 0.9936  10 Li 3.33-3.38, 2 Ca 3.53
Li 0.0000 0.5000 0.3694  6 Li 3.06-3.25, 2 Ca 3.38
Li 0.5000 0.5000 0.8103  4 Li 3.06-3.18, 4 Ca 3.33
Li 0.5000 0.0000 0.4934  8 Li 3.18-3.53, 4 Ca 3.34

---

No. 3
Li3Ca at its PBEsol-relaxed geometry. Source: the Alexandria database, functional SCAN.

magnetization: 0.4 μB/cell
polymorph energy (0 for the lowest one): 4 meV/atom
formation energy: 0.041 eV per atom

Cell: 6.3046 6.4481 10.1900 Å, 90.00 90.00 90.00°
Closest atoms and distances in Å follow each position.
Fractional coordinates of all 16 atoms:
Ca 0.0236 0.4302 0.7500  10 Li 3.15-3.49
Li 0.3144 0.6677 0.5135  2 Li 2.86-3.20
Li 0.1856 0.1677 0.0135  2 Li 2.86-3.20
Li 0.0429 0.9182 0.7500  2 Li 2.86, 2 Ca 3.15-3.18
Li 0.1856 0.1677 0.4865  2 Li 2.86-3.20
Ca 0.5236 0.0698 0.7500  10 Li 3.15-3.49
Li 0.8144 0.8323 0.9865  2 Li 2.86-3.20
Li 0.9571 0.0818 0.2500  2 Li 2.86, 2 Ca 3.15-3.18
Li 0.6856 0.3323 0.4865  2 Li 2.86-3.20
Li 0.4571 0.4182 0.2500  2 Li 2.86, 2 Ca 3.15-3.18
Li 0.3144 0.6677 0.9865  2 Li 2.86-3.20
Ca 0.9764 0.5698 0.2500  10 Li 3.15-3.49
Li 0.5429 0.5818 0.7500  2 Li 2.86, 2 Ca 3.15-3.18
Li 0.6856 0.3323 0.0135  2 Li 2.86-3.20
Ca 0.4764 0.9302 0.2500  10 Li 3.15-3.49
Li 0.8144 0.8323 0.5135  2 Li 2.86-3.20

---

No. 4
Li3Ca at its PBEsol-relaxed geometry. Source: the Alexandria database, functional SCAN.

magnetization: 0.1 μB/cell
polymorph energy (0 for the lowest one): 28 meV/atom
formation energy: 0.066 eV per atom

Cell: 5.2619 5.2619 5.2619 Å, 60.00 60.00 60.00°
Closest atoms and distances in Å follow each position.
Fractional coordinates of all 4 atoms:
Li 0.5000 0.5000 0.5000  8 Li 3.22
Li 0.2500 0.2500 0.2500  4 Li 3.22, 4 Ca 3.22
Li 0.7500 0.7500 0.7500  4 Ca 3.22, 4 Li 3.22
Ca 0.0000 0.0000 0.0000  8 Li 3.22